VASP calculation (GGA-PBE) on DyY3C after structural relaxation.

Geometry as POSCAR:
```
DyY3C
1.0
5.069 0.000 0.000
0.000 5.069 0.000
0.000 0.000 5.069
Dy Y C
1 3 1
direct
0.500 0.500 0.500 Dy
0.000 0.000 0.500 Y
0.500 0.000 0.000 Y
0.000 0.500 0.000 Y
0.000 0.000 0.000 C
```

Calculated values
DOS at the Fermi energy: 5.972 states/eV per cell
space-group type: Pm-3m, No. 221
electronic total energy: -6.662 eV/atom

VASP calculation (GGA-PBE) on Zn2SbPd8 after structural relaxation.

Geometry as POSCAR:
```
Zn2SbPd8
1.0
-2.139 -1.730 3.213
0.468 -6.031 -2.936
6.142 2.844 2.836
Pd Sb Zn
8 1 2
direct
0.658 0.434 0.316 Pd
0.658 0.882 0.316 Pd
0.000 0.299 0.000 Pd
0.843 0.843 0.687 Pd
0.000 0.701 0.000 Pd
0.342 0.566 0.684 Pd
0.342 0.118 0.684 Pd
0.157 0.157 0.313 Pd
0.500 0.000 0.000 Sb
0.812 0.312 0.625 Zn
0.188 0.688 0.375 Zn
```

Calculated values
uncorrected formation energy: -344.9 meV/atom
DOS at the Fermi energy: 5.398 states/eV per cell
space-group type: Immm, No. 71
electronic total energy: -4.728 eV/atom
distance to the lowest polymorph of the same formula: 0.0376 eV/atom

VASP calculation (GGA-PBE) on Ca2Sm after structural relaxation.

Geometry as POSCAR:
```
Ca2Sm
1.0
6.023 -0.004 -0.402
3.001 5.225 -0.328
0.250 0.090 3.583
Sm Ca
1 2
direct
0.781 0.327 0.237 Sm
0.114 0.660 0.600 Ca
0.447 0.994 0.873 Ca
```

Calculated values
DOS at the Fermi energy: 3.970 states/eV per cell
space-group type: C2/m, No. 12
electronic total energy: -2.802 eV/atom
distance to the lowest polymorph of the same formula: 0.0091 eV/atom

VASP calculation (GGA-PBE) on CaMgCu2 after structural relaxation.

Geometry as POSCAR:
```
CaMgCu2
1.0
-2.132 -3.988 -1.391
3.768 -2.496 1.381
-1.386 -0.355 3.140
Mg Cu Ca
1 2 1
direct
0.500 0.000 0.500 Mg
0.000 0.000 0.000 Cu
0.500 0.500 0.000 Cu
0.000 0.500 0.500 Ca
```

Calculated values
DOS at the Fermi energy: 1.575 states/eV per cell
space-group type: P4/mmm, No. 123
electronic total energy: -2.943 eV/atom

VASP calculation (GGA-PBE) on Li2Pr2DyTl2 after structural relaxation.

Geometry as POSCAR:
```
Li2Pr2DyTl2
1.0
-0.138 -4.725 1.204
2.427 -1.589 3.921
-6.628 -0.563 6.909
Tl Pr Li Dy
2 2 2 1
direct
0.733 0.733 0.802 Tl
0.267 0.267 0.198 Tl
0.126 0.126 0.621 Pr
0.874 0.874 0.379 Pr
0.390 0.390 0.830 Li
0.610 0.610 0.170 Li
0.000 0.000 0.000 Dy
```

Calculated values
DOS at the Fermi energy: 6.104 states/eV per cell
space-group type: R-3m, No. 166
electronic total energy: -3.443 eV/atom

VASP calculation (GGA-PBE) on ScCd3As after structural relaxation.

Geometry as POSCAR:
```
ScCd3As
1.0
-1.256 4.739 2.455
-4.445 -2.324 2.212
2.953 -1.484 4.375
As Sc Cd
1 1 3
direct
0.500 0.500 0.500 As
0.000 0.000 0.000 Sc
0.500 0.000 0.000 Cd
0.000 0.500 0.000 Cd
0.000 0.000 0.500 Cd
```

Calculated values
DOS at the Fermi energy: 5.106 states/eV per cell
space-group type: Pm-3m, No. 221
electronic total energy: -1.860 eV/atom
distance to the lowest polymorph of the same formula: 0.4239 eV/atom